Compound: LaSmDy4S8
Source: Alexandria
Functional: PBE
Structure: relaxed

```
LaSmDy4S8
1.0
-3.077 3.438 -6.697
-4.245 -4.487 -5.290
-8.074 1.070 -0.679
La Sm Dy S
1 1 4 8
Direct
0.374 0.374 0.878
0.999 0.999 0.003
0.626 0.626 0.123
0.999 0.503 0.499
0.503 0.999 0.499
0.999 0.999 0.499
0.242 0.785 0.732
0.785 0.242 0.732
0.242 0.242 0.732
0.237 0.237 0.289
0.752 0.232 0.263
0.232 0.752 0.263
0.752 0.752 0.263
0.758 0.758 0.727
```

Its density is 5.2 g cm⁻³. For the total energy, the calculation gives -6.308 eV/atom. As for the formation energy from raw total energies: -1946 meV/atom. As for the total moment: 0.00 μB per formula unit.

=====

Compound: La3DySn2S
Source: Alexandria
Functional: PBE
Structure: relaxed

```
La3DySn2S
1.0
5.144 0.000 0.000
0.000 5.315 0.000
-2.572 -2.658 8.426
La Dy Sn S
3 1 2 1
Direct
0.000 0.500 0.000
0.171 0.171 0.343
0.829 0.829 0.657
0.500 0.000 0.000
0.633 0.633 0.266
0.367 0.367 0.734
0.000 0.000 0.000
```

Its density is 6.1 g cm⁻³. For the total energy, the calculation gives -5.469 eV/atom. As for the formation energy from raw total energies: -966 meV/atom. As for the total moment: 0.00 μB per formula unit.

=====

Compound: SrLaDy2S4
Source: Alexandria
Functional: PBE
Structure: relaxed

```
SrLaDy2S4
1.0
4.013 0.000 0.000
0.000 7.052 -0.177
0.000 2.445 6.566
Sr La Dy S
1 1 2 4
Direct
0.000 0.500 0.500
0.500 0.500 0.000
0.000 0.000 0.000
0.500 0.000 0.500
0.000 0.770 0.743
0.000 0.230 0.257
0.500 0.770 0.243
0.500 0.230 0.757
```

Its density is 6.0 g cm⁻³. For the total energy, the calculation gives -6.091 eV/atom. As for the formation energy from raw total energies: -2051 meV/atom. As for the total moment: 0.00 μB per formula unit.

=====

Compound: La4TbDy3S8
Source: Alexandria
Functional: PBE
Structure: relaxed

```
La4TbDy3S8
1.0
8.012 0.000 0.000
0.000 8.122 0.072
-4.006 -4.002 5.668
La Tb Dy S
4 1 3 8
Direct
0.500 0.000 0.000
0.500 0.000 0.500
0.000 0.000 0.000
0.000 0.000 0.500
0.000 0.500 0.000
0.500 0.500 0.000
0.500 0.500 0.500
0.000 0.500 0.500
0.244 0.730 0.986
0.244 0.730 0.488
0.257 0.271 0.514
0.742 0.730 0.986
0.258 0.270 0.014
0.743 0.729 0.486
0.756 0.270 0.512
0.756 0.270 0.014
```

Its density is 6.5 g cm⁻³. For the total energy, the calculation gives -6.534 eV/atom. As for the formation energy from raw total energies: -2086 meV/atom. As for the total moment: 0.00 μB per formula unit.

=====

Compound: LaTb2Dy3S6
Source: Alexandria
Functional: PBE
Structure: relaxed

```
LaTb2Dy3S6
1.0
-3.181 5.203 -3.126
3.363 -4.697 -3.687
-5.450 -3.709 1.877
La Tb Dy S
1 2 3 6
Direct
0.000 0.000 0.000
0.333 0.667 0.000
0.667 0.333 0.000
0.163 0.837 0.500
0.837 0.163 0.500
0.500 0.500 0.500
0.913 0.571 0.741
0.742 0.742 0.255
0.087 0.429 0.259
0.571 0.913 0.741
0.258 0.258 0.745
0.429 0.087 0.259
```

Its density is 7.2 g cm⁻³. For the total energy, the calculation gives -6.422 eV/atom. As for the formation energy from raw total energies: -2026 meV/atom. As for the total moment: 0.00 μB per formula unit.

=====

Compound: LaTb3Dy2S6
Source: Alexandria
Functional: PBE
Structure: relaxed

```
LaTb3Dy2S6
1.0
-1.887 -6.562 -0.727
6.621 1.758 -0.460
-0.907 0.711 6.753
La Tb Dy S
1 3 2 6
Direct
0.000 0.000 0.000
0.163 0.837 0.500
0.837 0.163 0.500
0.500 0.500 0.500
0.333 0.667 0.000
0.667 0.333 0.000
0.915 0.570 0.744
0.739 0.739 0.251
0.085 0.430 0.256
0.570 0.915 0.744
0.261 0.261 0.749
0.430 0.085 0.256
```

Its density is 7.2 g cm⁻³. For the total energy, the calculation gives -6.426 eV/atom. As for the formation energy from raw total energies: -2027 meV/atom. As for the total moment: 0.00 μB per formula unit.

=====

Compound: LaDyTe2S
Source: Alexandria
Functional: PBE
Structure: relaxed

```
LaDyTe2S
1.0
4.498 0.000 0.000
0.000 4.498 0.000
0.000 0.000 15.741
La Dy Te S
2 2 4 2
Direct
0.500 0.000 0.606
0.000 0.500 0.394
0.500 0.000 0.110
0.000 0.500 0.890
0.000 0.500 0.706
0.000 0.500 0.093
0.500 0.000 0.907
0.500 0.000 0.294
0.000 0.000 0.500
0.500 0.500 0.500
```

Its density is 6.1 g cm⁻³. For the total energy, the calculation gives -5.567 eV/atom. As for the formation energy from raw total energies: -1579 meV/atom. As for the total moment: 0.00 μB per formula unit.

=====

Compound: LaDy2ThS4
Source: Alexandria
Functional: PBE
Structure: relaxed

```
LaDy2ThS4
1.0
3.954 0.000 0.000
0.000 7.033 -0.200
0.000 2.415 6.436
La Dy Th S
1 2 1 4
Direct
0.500 0.500 0.000
0.000 0.000 0.000
0.500 0.000 0.500
0.000 0.500 0.500
0.000 0.769 0.741
0.000 0.231 0.259
0.500 0.766 0.248
0.500 0.234 0.752
```

Its density is 7.6 g cm⁻³. For the total energy, the calculation gives -6.750 eV/atom. As for the formation energy from raw total energies: -1992 meV/atom. As for the total moment: 0.00 μB per formula unit.

=====

Compound: La4DyTh3S8
Source: Alexandria
Functional: PBE
Structure: relaxed

```
La4DyTh3S8
1.0
-6.620 -3.432 -3.276
4.488 -6.341 -2.426
-0.019 2.222 7.836
La Dy Th S
4 1 3 8
Direct
0.500 0.000 0.000
0.500 0.000 0.500
0.000 0.000 0.000
0.000 0.000 0.500
0.000 0.500 0.000
0.500 0.500 0.000
0.500 0.500 0.500
0.000 0.500 0.500
0.757 0.261 0.004
0.757 0.261 0.514
0.252 0.256 0.504
0.247 0.261 0.004
0.753 0.739 0.996
0.748 0.744 0.496
0.243 0.739 0.486
0.243 0.739 0.996
```

Its density is 7.3 g cm⁻³. For the total energy, the calculation gives -6.996 eV/atom. As for the formation energy from raw total energies: -2021 meV/atom. As for the total moment: 0.00 μB per formula unit.

=====

Compound: LaDy2Th3S6
Source: Alexandria
Functional: PBE
Structure: relaxed

```
LaDy2Th3S6
1.0
-5.845 -3.565 0.685
5.970 -3.338 -0.745
0.763 2.238 6.659
La Dy Th S
1 2 3 6
Direct
0.000 0.000 0.000
0.333 0.667 0.000
0.667 0.333 0.000
0.162 0.838 0.500
0.838 0.162 0.500
0.500 0.500 0.500
0.919 0.574 0.757
0.734 0.734 0.237
0.081 0.426 0.243
0.574 0.919 0.757
0.266 0.266 0.763
0.426 0.081 0.243
```

Its density is 8.2 g cm⁻³. For the total energy, the calculation gives -7.023 eV/atom. As for the formation energy from raw total energies: -1926 meV/atom. As for the total moment: 0.00 μB per formula unit.

=====

Compound: LaDyTl2S4
Source: Alexandria
Functional: PBE
Structure: relaxed

```
LaDyTl2S4
1.0
-0.642 4.054 -0.656
-6.479 -1.477 -2.789
-0.914 1.106 7.723
La Dy Tl S
1 1 2 4
Direct
0.500 0.500 0.000
0.000 0.000 0.000
0.500 0.000 0.500
0.000 0.500 0.500
0.500 0.222 0.199
0.500 0.778 0.801
0.000 0.254 0.797
0.000 0.746 0.203
```

Its density is 6.2 g cm⁻³. For the total energy, the calculation gives -5.347 eV/atom. As for the formation energy from raw total energies: -1501 meV/atom. As for the total moment: 0.00 μB per formula unit.

=====

Compound: La3DyTl4S8
Source: Alexandria
Functional: PBE
Structure: relaxed

```
La3DyTl4S8
1.0
8.444 0.000 0.000
0.000 8.906 0.317
-4.222 -4.217 5.974
La Dy Tl S
3 1 4 8
Direct
0.500 0.500 0.000
0.500 0.500 0.500
0.000 0.500 0.500
0.000 0.500 0.000
0.500 0.000 0.000
0.500 0.000 0.500
0.000 0.000 0.000
0.000 0.000 0.500
0.228 0.702 0.973
0.228 0.702 0.457
0.265 0.294 0.529
0.745 0.702 0.973
0.255 0.298 0.027
0.735 0.706 0.471
0.772 0.298 0.543
0.772 0.298 0.027
```

Its density is 6.0 g cm⁻³. For the total energy, the calculation gives -5.379 eV/atom. As for the formation energy from raw total energies: -1512 meV/atom. As for the total moment: 0.00 μB per formula unit.